A relaxed structure of PuUBiO2. Source: Alexandria, functional PBE.

Output
Its uncorrected formation energy is -2.18 eV/atom. The value obtained for the density of states at the Fermi level is 1.795 states/eV per atom.

Lattice parameters (Å, degrees): 3.955 3.955 6.969 106.48 106.48 90.00
Last column: magnetic moment on the atom in μB.
Positions (direct):
Pu1 0.847 0.847 0.693  5.16
O1 0.245 0.745 0.491  -0.10
O2 0.745 0.245 0.491  -0.10
Bi1 0.503 0.503 0.005  -0.16
U1 0.160 0.160 0.320  2.10